AlSiAs after structural relaxation, computed with PBE.

Cell lengths 14.6174, 2.8482, 2.8482 Å; angles 60.01, 90.00, 90.00 degrees
Closest atoms and distances in Å follow each position.
Positions (direct):
Al 0.1518 0.0000 0.0000  3 Si 2.76, 6 Al 2.85, 3 As 3.00
Al 0.8482 0.0000 0.0000  3 Si 2.76, 6 Al 2.85, 3 As 3.00
Si 0.0000 0.6671 0.6671  6 Al 2.76, 6 Si 2.85
Si 0.5000 0.6679 0.6679  2 As 2.58, 6 Si 2.85
As 0.3235 0.6683 0.6683  1 Si 2.58, 6 As 2.85
As 0.6765 0.6683 0.6683  1 Si 2.58, 6 As 2.85

Calculated volume in Å³/cell: 103
ΔE_f (raw) in meV per atom: 266
N(E_F) in states/eV per cell: 1.09
Crystal system: orthorhombic